# ScSbIr2, relaxed, DFT PBEsol
data_ScSbIr2
_chemical_formula_sum 'Sc4 Sb4 Ir8'
_symmetry_space_group_name_H-M 'F m -3 m'
_symmetry_Int_Tables_number 225
_symmetry_space_group_name_Hall '-F 4 2 3'
_cell_length_a 6.445
_cell_length_b 6.445
_cell_length_c 6.445
_cell_angle_alpha 90.00
_cell_angle_beta 90.00
_cell_angle_gamma 90.00
loop_
_atom_site_label
_atom_site_fract_x
_atom_site_fract_y
_atom_site_fract_z
_atom_site_occupancy
Sc1 0.000 0.000 0.000 1
Sb1 0.000 0.000 0.500 1
Ir1 0.250 0.250 0.250 1
# V in Å³/cell: 267.72
# N(E_F) in states/eV/f.u.: 7.078
# ΔE_f (raw) in eV per atom: -0.419
# Electronic total energy in eV/atom: -8.122
# Total magnetization in μB/f.u.: 0.30

***

# BPIO2, relaxed, DFT PBEsol
data_BPIO2
_chemical_formula_sum 'B1 P1 I1 O2'
_symmetry_space_group_name_H-M 'P 4/m m m'
_symmetry_Int_Tables_number 123
_symmetry_space_group_name_Hall '-P 4 2'
_cell_length_a 3.624
_cell_length_b 3.624
_cell_length_c 4.614
_cell_angle_alpha 90.00
_cell_angle_beta 90.00
_cell_angle_gamma 90.00
loop_
_atom_site_label
_atom_site_fract_x
_atom_site_fract_y
_atom_site_fract_z
_atom_site_occupancy
B1 0.000 0.000 0.000 1
P1 0.500 0.500 0.500 1
I1 0.000 0.000 0.500 1
O1 0.000 0.500 0.000 1
# V in Å³/cell: 60.61
# N(E_F) in states/eV/f.u.: 2.150
# ΔE_f (raw) in eV per atom: 0.588
# Electronic total energy in eV/atom: -4.426
# Total magnetization in μB/f.u.: 0.00

***

# Zr2Al8Cu, relaxed, DFT PBEsol
data_Zr2Al8Cu
_chemical_formula_sum 'Zr2 Al8 Cu1'
_symmetry_space_group_name_H-M 'P 4/m m m'
_symmetry_Int_Tables_number 123
_symmetry_space_group_name_Hall '-P 4 2'
_cell_length_a 4.103
_cell_length_b 4.103
_cell_length_c 10.840
_cell_angle_alpha 90.00
_cell_angle_beta 90.00
_cell_angle_gamma 90.00
loop_
_atom_site_label
_atom_site_fract_x
_atom_site_fract_y
_atom_site_fract_z
_atom_site_occupancy
Zr1 0.000 0.000 0.182 1
Al1 0.000 0.500 0.000 1
Al2 0.000 0.500 0.373 1
Al3 0.500 0.500 0.193 1
Cu1 0.000 0.000 0.500 1
# V in Å³/cell: 182.45
# N(E_F) in states/eV/f.u.: 4.308
# Energy of formation in eV/atom: -0.353
# Electronic total energy in eV/atom: -5.375
# Total magnetization in μB/f.u.: 0.00

***

# BaLi3Sn, relaxed, DFT PBEsol
data_BaLi3Sn
_chemical_formula_sum 'Ba1 Li3 Sn1'
_symmetry_space_group_name_H-M 'P m -3 m'
_symmetry_Int_Tables_number 221
_symmetry_space_group_name_Hall '-P 4 2 3'
_cell_length_a 5.198
_cell_length_b 5.198
_cell_length_c 5.198
_cell_angle_alpha 90.00
_cell_angle_beta 90.00
_cell_angle_gamma 90.00
loop_
_atom_site_label
_atom_site_fract_x
_atom_site_fract_y
_atom_site_fract_z
_atom_site_occupancy
Ba1 0.000 0.000 0.000 1
Li1 0.000 0.500 0.500 1
Sn1 0.500 0.500 0.500 1
# V in Å³/cell: 140.46
# N(E_F) in states/eV/f.u.: 2.688
# Energy of formation in eV/atom: -0.247
# Electronic total energy in eV/atom: -2.708
# Total magnetization in μB/f.u.: 0.20

***

- What is the formula in the third record?
  Zr2Al8Cu

***

- Look up the V of the fourth one.
  140.46 Å³/cell

***

- Which value of N(E_F) does entry 2 give?
  2.150 states/eV/f.u.